[1]
The following is a DFT calculation (GGA-PBE) of a geometry-optimized AcNdTl2Se4 structure.

Properties
Calculated density in g cm⁻³: 6.856
ΔE_f (raw) in eV/atom: -1.403
Volume in Å³/cell: 265.42

Cell lengths 7.7159, 4.4503, 8.1433 Å; angles 90.00, 108.34, 90.00 degrees
Space group P2/m (No. 10)
One atom of each set of equivalent atoms:
Ac 0.0000 0.0000 0.0000 x1
Nd 0.5000 0.5000 0.0000 x1
Tl 0.0000 0.5000 0.5000 x1
Tl 0.5000 0.0000 0.5000 x1
Se 0.2493 0.5000 0.2161 x2
Se 0.2725 0.0000 0.7881 x2

***

[2]
The following is a DFT calculation (GGA-PBE) of a geometry-optimized Ac2Nd3TmSe6 structure.

Properties
Calculated density in g cm⁻³: 7.647
ΔE_f (raw) in eV/atom: -1.797
Volume in Å³/cell: 664.22

Cell lengths 7.4203, 12.8720, 7.3880 Å; angles 90.00, 109.73, 90.00 degrees
Space group C2/m (No. 12)
One atom of each set of equivalent atoms:
Ac 0.0000 0.1653 0.0000 x4
Nd 0.0000 0.0000 0.5000 x2
Nd 0.0000 0.3236 0.5000 x4
Tm 0.0000 0.5000 0.0000 x2
Se 0.2259 0.5000 0.7415 x4
Se 0.2386 0.3430 0.2486 x8

***

[3]
The following is a DFT calculation (GGA-PBE) of a geometry-optimized Ac2NdTmSe6 structure.

Properties
Calculated density in g cm⁻³: 6.257
ΔE_f (raw) in eV/atom: -1.910
Volume in Å³/cell: 987.95

Cell lengths 7.6146, 7.6146, 19.6746 Å; angles 90.00, 90.00, 120.00 degrees
Space group R3 (No. 146, hexagonal axes)
One atom of each set of equivalent atoms:
Ac 0.0000 0.0000 0.0000 x3
Ac 0.0000 0.0000 0.4984 x3
Nd 0.0000 0.0000 0.2888 x3
Tm 0.0000 0.0000 0.7912 x3
Se 0.0123 0.3897 0.0535 x9
Se 0.0287 0.6332 0.5510 x9

***

[4]
The following is a DFT calculation (GGA-PBE) of a geometry-optimized Ac2NdTmSe5 structure.

Properties
Calculated density in g cm⁻³: 7.175
ΔE_f (raw) in eV/atom: -1.811
Volume in Å³/cell: 1075.62

Cell lengths 4.2171, 17.8986, 14.2503 Å; angles 90.00, 90.00, 90.00 degrees
Space group Cmc2_1 (No. 36)
One atom of each set of equivalent atoms:
Ac 0.0000 0.0866 0.0000 x4
Ac 0.0000 0.1379 0.6610 x4
Nd 0.0000 0.4517 0.8073 x4
Tm 0.0000 0.2263 0.3884 x4
Se 0.0000 0.0778 0.4407 x4
Se 0.0000 0.2596 0.0314 x4
Se 0.0000 0.2959 0.7552 x4
Se 0.0000 0.3793 0.3391 x4
Se 0.0000 0.4947 0.1193 x4